## FeTcI2O (PBE+U)

Data for an optimized crystal structure of FeTcI2O.

Cell: 5.7792 5.7792 3.6951 Å, 90.00 90.00 90.00°
Atoms (fractional coordinates):
Fe 0.0000 0.0000 0.0000
Tc 0.5000 0.5000 0.5000
I 0.0000 0.5000 0.0000
I 0.5000 0.0000 0.0000
O 0.0000 0.0000 0.5000

Output
The polymorph energy (0 for the lowest one) comes out at 318.0 meV per atom.